Record 1
Computed, not measured: crystalline TaOsRu at its relaxed geometry at the PBE-GGA level of DFT.

a = 4.4189 Å, b = 4.4200 Å, c = 5.4695 Å
α = 90.00°, β = 90.00°, γ = 119.99°
Closest atoms and distances in Å follow each position.
Sites, in units of the cell vectors:
Ta 0.6666 0.8332 0.7500  5 Ru 2.55-2.73
Ta 0.3334 0.1668 0.2500  5 Ru 2.55-2.73
Os 0.0000 0.5000 0.0000  2 Os 2.73, 6 Ta 2.89-2.90, 6 Ru 2.89-2.90
Os 0.0000 0.5000 0.5000  2 Os 2.73, 6 Ta 2.89-2.90, 6 Ru 2.89-2.90
Ru 0.6667 0.8334 0.2500  5 Ta 2.55-2.73
Ru 0.3333 0.1666 0.7500  5 Ta 2.55-2.73

## Properties
Magnetization: 0.00 μB per cell
ΔE to the lowest computed polymorph: 0.0 meV/atom

=====

Record 2
Computed, not measured: crystalline TaOsRu2 at its relaxed geometry at the PBE-GGA level of DFT.

a = 4.4302 Å, b = 4.4302 Å, c = 4.4307 Å
α = 60.00°, β = 60.00°, γ = 60.00°
Closest atoms and distances in Å follow each position.
Sites, in units of the cell vectors:
Ta 0.7500 0.7500 0.7500  4 Ru 2.71, 4 Os 2.71
Os 0.5000 0.5000 0.5001  4 Ru 2.71, 4 Ta 2.71
Ru 0.0000 0.0000 0.9999  4 Ta 2.71, 4 Ru 2.71
Ru 0.2500 0.2500 0.2499  4 Os 2.71, 4 Ru 2.71

## Properties
Magnetization: 2.21 μB per cell
ΔE to the lowest computed polymorph: 367.0 meV/atom

=====

Record 3
Computed, not measured: crystalline TaOsRu4 at its relaxed geometry at the PBE-GGA level of DFT.

a = 6.5299 Å, b = 6.5299 Å, c = 6.9092 Å
α = 119.55°, β = 119.55°, γ = 102.15°
Closest atoms and distances in Å follow each position.
Sites, in units of the cell vectors:
Ta 0.0665 0.9335 0.7500  8 Ru 2.55-2.85, 3 Os 2.72-2.74
Ta 0.9335 0.0665 0.2500  8 Ru 2.55-2.85, 3 Os 2.72-2.74
Os 0.6658 0.3342 0.2500  8 Ru 2.70-3.02, 3 Ta 2.72-2.74
Os 0.3342 0.6658 0.7500  8 Ru 2.70-3.02, 3 Ta 2.72-2.74
Ru 0.2692 0.4031 0.2554  5 Ru 2.50-2.75, 2 Ta 2.55-2.73, 2 Os 2.70-2.73
Ru 0.6424 0.9992 0.7344  7 Ru 2.59-2.87, 1 Os 2.72, 2 Ta 2.81-2.85
Ru 0.5969 0.7308 0.2446  5 Ru 2.50-2.75, 2 Ta 2.55-2.73, 2 Os 2.70-2.73
Ru 0.0008 0.3576 0.7656  7 Ru 2.59-2.87, 1 Os 2.72, 2 Ta 2.81-2.85
Ru 0.9992 0.6424 0.2344  7 Ru 2.59-2.87, 1 Os 2.72, 2 Ta 2.81-2.85
Ru 0.4031 0.2692 0.7554  5 Ru 2.50-2.75, 2 Ta 2.55-2.73, 2 Os 2.70-2.73
Ru 0.3576 0.0008 0.2656  7 Ru 2.59-2.87, 1 Os 2.72, 2 Ta 2.81-2.85
Ru 0.7308 0.5969 0.7446  5 Ru 2.50-2.75, 2 Ta 2.55-2.73, 2 Os 2.70-2.73

## Properties
Magnetization: 0.00 μB per cell
ΔE to the lowest computed polymorph: 0.0 meV/atom

=====

Record 4
Computed, not measured: crystalline TaOsRu at its relaxed geometry at the PBE-GGA level of DFT.

a = 6.3540 Å, b = 6.3540 Å, c = 6.3540 Å
α = 154.75°, β = 154.75°, γ = 36.01°
Closest atoms and distances in Å follow each position.
Sites, in units of the cell vectors:
Os 0.9880 0.9880 0.0000  4 Ru 2.61, 4 Os 2.78, 4 Ta 2.92
Ru 0.3452 0.3452 0.0000  4 Os 2.61, 4 Ru 2.78, 4 Ta 2.92
Ta 0.6669 0.6669 0.0000  4 Ta 2.78, 4 Ru 2.92, 4 Os 2.92

## Properties
Magnetization: 0.00 μB per cell
ΔE to the lowest computed polymorph: 42.4 meV/atom

=====

Record 5
Computed, not measured: crystalline TaOsRu2 at its relaxed geometry at the PBE-GGA level of DFT.

a = 4.7804 Å, b = 4.7804 Å, c = 4.7905 Å
α = 80.22°, β = 80.22°, γ = 33.99°
Closest atoms and distances in Å follow each position.
Sites, in units of the cell vectors:
Os 0.2547 0.2547 0.2263  7 Ru 2.65-2.90, 2 Os 2.79, 3 Ta 2.81-2.83
Ru 0.9991 0.9991 0.0085  3 Os 2.68-2.72, 5 Ru 2.74-2.79, 4 Ta 2.76-2.79
Ru 0.7456 0.7456 0.7606  4 Os 2.65-2.90, 5 Ru 2.74-2.79, 3 Ta 2.74-2.81
Ta 0.5006 0.5006 0.5046  7 Ru 2.74-2.81, 2 Ta 2.79, 3 Os 2.81-2.83

## Properties
Magnetization: 0.00 μB per cell
ΔE to the lowest computed polymorph: 90.3 meV/atom

=====

Record 6
Computed, not measured: crystalline TaOs2Ru2 at its relaxed geometry at the PBE-GGA level of DFT.

a = 4.8056 Å, b = 5.4947 Å, c = 11.4193 Å
α = 90.00°, β = 98.51°, γ = 90.00°
Closest atoms and distances in Å follow each position.
Sites, in units of the cell vectors:
Ta 0.8500 0.3966 0.3006  5 Ru 2.66-2.80, 5 Os 2.72-2.88, 2 Ta 2.89
Ta 0.1500 0.6034 0.6994  5 Ru 2.66-2.80, 5 Os 2.72-2.88, 2 Ta 2.89
Ta 0.3500 0.1035 0.3006  5 Ru 2.66-2.80, 5 Os 2.72-2.88, 2 Ta 2.89
Ta 0.6500 0.8965 0.6994  5 Ru 2.66-2.80, 5 Os 2.72-2.88, 2 Ta 2.89
Os 0.9439 0.1206 0.0956  3 Os 2.68-2.79, 7 Ru 2.69-2.81, 2 Ta 2.82-2.88
Os 0.4438 0.3793 0.0956  3 Os 2.68-2.79, 7 Ru 2.69-2.81, 2 Ta 2.82-2.88
Os 0.5562 0.6207 0.9044  3 Os 2.68-2.79, 7 Ru 2.69-2.81, 2 Ta 2.82-2.88
Os 0.0561 0.8794 0.9044  3 Os 2.68-2.79, 7 Ru 2.69-2.81, 2 Ta 2.82-2.88
Os 0.2632 0.3685 0.5021  6 Os 2.70-2.91, 3 Ta 2.72-2.81, 3 Ru 2.73-2.79
Os 0.7633 0.1315 0.5021  6 Os 2.70-2.91, 3 Ta 2.72-2.81, 3 Ru 2.73-2.79
Os 0.2367 0.8685 0.4979  6 Os 2.70-2.91, 3 Ta 2.72-2.81, 3 Ru 2.73-2.79
Os 0.7368 0.6315 0.4979  6 Os 2.70-2.91, 3 Ta 2.72-2.81, 3 Ru 2.73-2.79
Ru 0.5470 0.1312 0.9032  6 Os 2.69-2.81, 5 Ru 2.73-2.81, 1 Ta 2.77
Ru 0.0470 0.3688 0.9032  6 Os 2.69-2.81, 5 Ru 2.73-2.81, 1 Ta 2.77
Ru 0.9530 0.6312 0.0968  6 Os 2.69-2.81, 5 Ru 2.73-2.81, 1 Ta 2.77
Ru 0.4530 0.8688 0.0968  6 Os 2.69-2.81, 5 Ru 2.73-2.81, 1 Ta 2.77
Ru 0.3460 0.6122 0.2983  4 Ta 2.66-2.80, 4 Os 2.73-2.79, 4 Ru 2.75-2.84
Ru 0.8459 0.8880 0.2983  4 Ta 2.66-2.80, 4 Os 2.73-2.79, 4 Ru 2.75-2.84
Ru 0.1541 0.1120 0.7017  4 Ta 2.66-2.80, 4 Os 2.73-2.79, 4 Ru 2.75-2.84
Ru 0.6540 0.3878 0.7017  4 Ta 2.66-2.80, 4 Os 2.73-2.79, 4 Ru 2.75-2.84

## Properties
Magnetization: 0.00 μB per cell
ΔE to the lowest computed polymorph: 0.0 meV/atom